A relaxed Tl8HgSe3 crystal, computed with PBE-GGA.

Computed properties:
E_tot (eV per atom): -2.725
Symmetry: No. 166

The structure in extended XYZ format:
```
12
Lattice="4.368 2.522 6.230 -4.368 2.522 6.230 0.000 -5.043 6.230" Properties=species:S:1:pos:R:3 pbc="T T T"
Tl 0.000 0.000 4.431
Tl -2.008 -1.159 10.671
Tl 0.000 -2.319 8.021
Tl -2.008 1.159 8.021
Tl 2.008 -1.159 10.671
Tl 0.000 2.319 10.671
Tl 2.008 1.159 8.021
Tl 0.000 0.000 14.260
Hg 0.000 0.000 0.000
Se -2.184 -1.261 6.230
Se -2.184 1.261 12.461
Se 0.000 2.522 6.230
```

---

A relaxed Th3SbPt crystal, computed with PBE-GGA.

Computed properties:
E_tot (eV per atom): -6.960
Symmetry: No. 65

The structure in extended XYZ format:
```
10
Lattice="3.902 -7.950 0.000 3.902 7.950 0.000 0.000 0.000 4.996" Properties=species:S:1:pos:R:3 pbc="T T T"
Th 1.951 3.975 2.498
Th 3.902 5.480 0.000
Th 2.455 0.000 2.498
Th 1.951 -3.975 2.498
Th 5.349 0.000 2.498
Th 3.902 -5.480 0.000
Sb 3.902 2.172 0.000
Sb 3.902 -2.172 0.000
Pt 3.902 6.549 2.498
Pt 3.902 -6.549 2.498
```

---

A relaxed FeMo4Rh crystal, computed with PBE-GGA.

Computed properties:
E_tot (eV per atom): -9.453
Symmetry: No. 216
Energy relative to the elements (eV/atom): 0.4039

The structure in extended XYZ format:
```
6
Lattice="0.000 3.631 3.631 3.631 0.000 3.631 3.631 3.631 0.000" Properties=species:S:1:pos:R:3 pbc="T T T"
Fe 0.000 0.000 0.000
Mo 4.546 2.716 2.716
Mo 2.716 4.546 2.716
Mo 2.716 2.716 4.546
Mo 4.546 4.546 4.546
Rh 1.815 1.815 1.815
```